No. 1
CdHg2H2 | PBE | relaxed

Summary:
As for the relative energy among the computed polymorphs: 275 meV per atom.

Lattice parameters (Å, degrees): 7.5747 7.5747 3.7775 90.00 90.00 90.00
Space group P4/mbm (No. 127)
Unique sites:
Cd  0.0000  0.0000  0.0000 [2 per cell]
Hg  0.1414  0.3586  0.0000 [4 per cell]
H  0.1409  0.3591  0.5000 [4 per cell]



No. 2
HoU4P5 | PBE | relaxed

Summary:
The value obtained for the formation energy is -1.088 eV/atom.

Lattice parameters (Å, degrees): 3.9298 5.5692 19.8334 90.00 90.00 90.00
Space group Immm (No. 71)
Unique sites:
Ho  0.0000  0.0000  0.0000 [2 per cell]
U  0.0000  0.0000  0.2010 [4 per cell]
U  0.0000  0.0000  0.4002 [4 per cell]
P  0.0000  0.5000  0.0000 [2 per cell]
P  0.0000  0.5000  0.1992 [4 per cell]
P  0.0000  0.5000  0.3987 [4 per cell]



No. 3
Cd6I | PBE | relaxed

Summary:
As for the energy relative to the elements, uncorrected: 203 meV per atom.

Lattice parameters (Å, degrees): 8.1809 8.1809 8.1809 90.00 90.00 90.00
Space group Im-3m (No. 229)
Unique sites:
Cd  0.0000  0.2500  0.5000 [12 per cell]
I  0.0000  0.0000  0.0000 [2 per cell]



No. 4
Sr3DyY2Te6 | PBE | relaxed

Summary:
As for the energy relative to the elements, uncorrected: -1502 meV per atom.

Lattice parameters (Å, degrees): 7.7803 13.4579 7.9751 90.00 108.98 90.00
Space group C2/m (No. 12)
Unique sites:
Sr  0.0000  0.0000  0.0000 [2 per cell]
Sr  0.0000  0.3330  0.0000 [4 per cell]
Dy  0.0000  0.5000  0.5000 [2 per cell]
Y  0.0000  0.1665  0.5000 [4 per cell]
Te  0.2433  0.3336  0.7312 [8 per cell]
Te  0.2445  0.0000  0.7316 [4 per cell]



No. 5
RbGa2CuAu | PBE | relaxed

Summary:
The value obtained for the formation energy is 0.368 eV/atom.

Lattice parameters (Å, degrees): 4.9697 4.9697 6.4652 90.00 90.00 90.00
Space group P4/mmm (No. 123)
Unique sites:
Rb  0.0000  0.0000  0.0000 [1 per cell]
Ga  0.0000  0.5000  0.5000 [2 per cell]
Cu  0.5000  0.5000  0.0000 [1 per cell]
Au  0.0000  0.0000  0.5000 [1 per cell]



No. 6
Ac6InAg | PBE | relaxed

Summary:
The value obtained for the formation energy is -0.157 eV/atom.

Lattice parameters (Å, degrees): 5.6881 5.6881 19.3719 90.00 90.00 90.00
Space group I4/mmm (No. 139)
Unique sites:
Ac  0.0000  0.0000  0.2480 [4 per cell]
Ac  0.0000  0.5000  0.1049 [8 per cell]
In  0.0000  0.0000  0.0000 [2 per cell]
Ag  0.0000  0.0000  0.5000 [2 per cell]



No. 7
Mg4Ga2Pb | PBE | relaxed

Summary:
The value obtained for the formation energy is -0.034 eV/atom.

Lattice parameters (Å, degrees): 8.6096 8.6096 8.5850 90.00 90.00 90.00
Space group I-42d (No. 122)
Unique sites:
Mg  0.0829  0.6584  0.4344 [16 per cell]
Ga  0.1477  0.7500  0.1250 [8 per cell]
Pb  0.0000  0.0000  0.5000 [4 per cell]



No. 8
Sr2Ga3AgAu4 | PBE | relaxed

Summary:
The value obtained for the formation energy is -0.536 eV/atom.

Lattice parameters (Å, degrees): 4.5796 4.5796 10.8074 90.00 90.00 90.00
Space group P-4m2 (No. 115)
Unique sites:
Sr  0.0000  0.5000  0.2490 [2 per cell]
Ga  0.0000  0.5000  0.8803 [2 per cell]
Ga  0.5000  0.5000  0.5000 [1 per cell]
Ag  0.0000  0.0000  0.5000 [1 per cell]
Au  0.0000  0.0000  0.0000 [1 per cell]
Au  0.0000  0.5000  0.6442 [2 per cell]
Au  0.5000  0.5000  0.0000 [1 per cell]



The records above yield total DFT energy (no corrections) values of -13.13; -175.32; -11.24; -118.89; -12.56; -63.00; -65.52; -33.76 eV/cell, respectively.